# PBE Mg2Tl2Bi, optimized geometry
data_Mg2Tl2Bi
_chemical_formula_sum 'Mg4 Tl4 Bi2'
_cell_length_a 8.6506
_cell_length_b 8.6506
_cell_length_c 3.6181
_cell_angle_alpha 90.00
_cell_angle_beta 90.00
_cell_angle_gamma 90.00
_space_group_name_H-M_alt 'P 4/m b m'
_space_group_IT_number 127
_space_group_name_Hall '-P 4 2ab'
loop_
_atom_site_label
_atom_site_fract_x
_atom_site_fract_y
_atom_site_fract_z
Mg1 0.1329 0.3671 0.0000
Tl1 0.1667 0.6667 0.5000
Bi1 0.0000 0.0000 0.0000
# E above lowest polymorph = 0 meV/atom
# Formation energy from the elements = -3 meV/atom

=====

# PBE Tl2Cu2F5, optimized geometry
data_Tl2Cu2F5
_chemical_formula_sum 'Tl2 Cu2 F5'
_cell_length_a 4.0331
_cell_length_b 4.0331
_cell_length_c 8.9558
_cell_angle_alpha 90.00
_cell_angle_beta 90.00
_cell_angle_gamma 90.00
_space_group_name_H-M_alt 'P 4/m m m'
_space_group_IT_number 123
_space_group_name_Hall '-P 4 2'
loop_
_atom_site_label
_atom_site_fract_x
_atom_site_fract_y
_atom_site_fract_z
Tl1 0.0000 0.0000 0.0000
Tl2 0.0000 0.0000 0.5000
Cu1 0.5000 0.5000 0.2505
F1 0.0000 0.5000 0.2272
F2 0.5000 0.5000 0.5000
# Formation energy from raw total energies = -1.554 eV/atom

=====

# PBE Y2TaW, optimized geometry
data_Y2TaW
_chemical_formula_sum 'Y2 Ta1 W1'
_cell_length_a 3.1249
_cell_length_b 4.6186
_cell_length_c 6.5435
_cell_angle_alpha 90.00
_cell_angle_beta 102.39
_cell_angle_gamma 90.00
_space_group_name_H-M_alt 'P 1 m 1'
_space_group_IT_number 6
loop_
_space_group_symop_operation_xyz
'x,y,z'
'x,-y,z'
loop_
_atom_site_label
_atom_site_fract_x
_atom_site_fract_y
_atom_site_fract_z
Y1 0.0000 0.0000 0.0000
Y2 0.2536 0.5000 0.6753
Ta1 0.6738 0.5000 0.2469
W1 0.5255 0.0000 0.4346
# E above lowest polymorph = 200 meV/atom
# Formation energy from the elements = 417 meV/atom

=====

# PBE KYGa2Br6, optimized geometry
data_KYGa2Br6
_chemical_formula_sum 'K1 Y1 Ga2 Br6'
_cell_length_a 7.8295
_cell_length_b 7.8389
_cell_length_c 8.2980
_cell_angle_alpha 61.87
_cell_angle_beta 61.86
_cell_angle_gamma 60.04
_space_group_name_H-M_alt 'P 1'
_space_group_IT_number 1
loop_
_space_group_symop_operation_xyz
'x,y,z'
loop_
_atom_site_label
_atom_site_fract_x
_atom_site_fract_y
_atom_site_fract_z
K1 0.0000 0.0000 0.0000
Y1 0.5095 0.5096 0.4710
Ga1 0.1955 0.1952 0.4136
Ga2 0.7015 0.7012 0.8953
Br1 0.1489 0.7549 0.6831
Br2 0.3232 0.5811 0.2102
Br3 0.4128 0.1490 0.6829
Br4 0.5814 0.8844 0.2100
Br5 0.7555 0.4126 0.6828
Br6 0.8846 0.3241 0.2096
# Formation energy from raw total energies = -1.324 eV/atom

=====

# PBE TlIn2BTe, optimized geometry
data_TlIn2BTe
_chemical_formula_sum 'Tl1 In2 B1 Te1'
_cell_length_a 6.2475
_cell_length_b 6.2475
_cell_length_c 4.4511
_cell_angle_alpha 90.00
_cell_angle_beta 90.00
_cell_angle_gamma 90.00
_space_group_name_H-M_alt 'P 4/m m m'
_space_group_IT_number 123
_space_group_name_Hall '-P 4 2'
loop_
_atom_site_label
_atom_site_fract_x
_atom_site_fract_y
_atom_site_fract_z
Tl1 0.0000 0.0000 0.0000
In1 0.0000 0.5000 0.5000
B1 0.5000 0.5000 0.0000
Te1 0.5000 0.5000 0.5000
# Formation energy from raw total energies = 0.885 eV/atom

=====

# PBE Sr2TcSe, optimized geometry
data_Sr2TcSe
_chemical_formula_sum 'Sr2 Tc1 Se1'
_cell_length_a 4.4661
_cell_length_b 4.4661
_cell_length_c 6.4435
_cell_angle_alpha 90.00
_cell_angle_beta 90.00
_cell_angle_gamma 90.00
_space_group_name_H-M_alt 'P 4 m m'
_space_group_IT_number 99
loop_
_space_group_symop_operation_xyz
'x,y,z'
'-y,x,z'
'-x,-y,z'
'y,-x,z'
'-x,y,z'
'y,x,z'
'x,-y,z'
'-y,-x,z'
loop_
_atom_site_label
_atom_site_fract_x
_atom_site_fract_y
_atom_site_fract_z
Sr1 0.0000 0.0000 0.0000
Sr2 0.5000 0.5000 0.4621
Tc1 0.0000 0.0000 0.5058
Se1 0.5000 0.5000 0.9656
# Formation energy from raw total energies = 0.005 eV/atom

=====

# PBE HoSeF2, optimized geometry
data_HoSeF2
_chemical_formula_sum 'Ho2 Se2 F4'
_cell_length_a 3.0743
_cell_length_b 3.9219
_cell_length_c 13.7240
_cell_angle_alpha 90.00
_cell_angle_beta 90.00
_cell_angle_gamma 90.00
_space_group_name_H-M_alt 'I m m 2'
_space_group_IT_number 44
loop_
_space_group_symop_operation_xyz
'x,y,z'
'-x,-y,z'
'-x,y,z'
'x,-y,z'
'x+1/2,y+1/2,z+1/2'
'-x+1/2,-y+1/2,z+1/2'
'-x+1/2,y+1/2,z+1/2'
'x+1/2,-y+1/2,z+1/2'
loop_
_atom_site_label
_atom_site_fract_x
_atom_site_fract_y
_atom_site_fract_z
Ho1 0.0000 0.0000 0.0000
Se1 0.0000 0.5000 0.6800
F1 0.0000 0.0000 0.5002
F2 0.0000 0.5000 0.3907
# Formation energy from raw total energies = -2.628 eV/atom

=====

# PBE K2PbBrCl6, optimized geometry
data_K2PbBrCl6
_chemical_formula_sum 'K2 Pb1 Br1 Cl6'
_cell_length_a 7.5534
_cell_length_b 7.8033
_cell_length_c 7.8612
_cell_angle_alpha 106.88
_cell_angle_beta 103.93
_cell_angle_gamma 114.58
_space_group_name_H-M_alt 'P 1'
_space_group_IT_number 1
loop_
_space_group_symop_operation_xyz
'x,y,z'
loop_
_atom_site_label
_atom_site_fract_x
_atom_site_fract_y
_atom_site_fract_z
K1 0.0000 0.0000 0.0000
K2 0.1776 0.5747 0.5436
Pb1 0.5176 0.2055 0.5779
Br1 0.5256 0.7124 0.0868
Cl1 0.1293 0.8608 0.3499
Cl2 0.3246 0.3590 0.8235
Cl3 0.4127 0.3868 0.3570
Cl4 0.5956 0.0217 0.8049
Cl5 0.7235 0.0662 0.3463
Cl6 0.9124 0.5540 0.7891
# Formation energy from raw total energies = -1.089 eV/atom

=====

no.,magnetic moment (μB/f.u.),N(E_F) (states/eV/cell)
1,0.00,5.6
2,0.00,1.6
3,0.00,4.3
4,0.00,0.0
5,0.00,3.7
6,3.00,3.7
7,0.00,1.4
8,0.65,5.2